Compound: Ta3Nb3Ru
Source: Alexandria via LeMat-Bulk
Functional: PBE
Structure: optimized geometry

Cell: 5.4997 5.4997 5.4997 Å, 108.25 108.25 108.25°
Sites, in units of the cell vectors:
1 Ta 0.5543 0.0330 0.0330
2 Ta 0.0330 0.0330 0.5543
3 Ta 0.0330 0.5543 0.0330
4 Nb 0.5353 0.5353 0.0767
5 Nb 0.5353 0.0767 0.5353
6 Nb 0.0767 0.5353 0.5353
7 Ru 0.0319 0.0319 0.0319

Summary:
Relative energy among the computed polymorphs, meV per atom: 23
ΔE_f, meV per atom: 245
Symmetry: R3m (160)
Total moment, Bohr magnetons per cell: 0.00



Compound: MgHgSb2
Source: Alexandria via LeMat-Bulk
Functional: PBE
Structure: optimized geometry

Cell: 4.7525 4.7525 6.3678 Å, 68.09 68.09 60.00°
Sites, in units of the cell vectors:
1 Mg 0.6740 0.6740 0.9780
2 Hg 0.5030 0.5030 0.4909
3 Sb 0.0709 0.0709 0.7874
4 Sb 0.2521 0.2521 0.2437

Summary:
Formation energy (no corrections), eV/atom: 0.01
Relative energy among the computed polymorphs, meV per atom: 56
Symmetry: R3m (160)
Total moment, Bohr magnetons per cell: 0.00



Compound: CrInIrRh
Source: Alexandria via LeMat-Bulk
Functional: PBE
Structure: optimized geometry

Cell: 4.4490 4.4490 4.4490 Å, 60.00 60.00 60.00°
Sites, in units of the cell vectors:
1 Cr 0.2500 0.2500 0.2500
2 Ir 0.0000 0.0000 0.0000
3 Rh 0.5000 0.5000 0.5000
4 In 0.7500 0.7500 0.7500

Summary:
ΔE_f, meV per atom: -85
Symmetry: F-43m (216)
Total moment, Bohr magnetons per cell: 3.10



Compound: NaSr3Pd
Source: Alexandria via LeMat-Bulk
Functional: PBE
Structure: optimized geometry

Cell: 8.0589 12.7632 7.8023 Å, 90.00 90.00 90.00°
Sites, in units of the cell vectors:
1 Sr 0.8656 0.8903 0.8504
2 Sr 0.6344 0.3903 0.3504
3 Sr 0.6344 0.1097 0.3504
4 Sr 0.1344 0.3903 0.1496
5 Sr 0.1344 0.1097 0.1496
6 Sr 0.3656 0.6097 0.6496
7 Sr 0.3656 0.8903 0.6496
8 Sr 0.8656 0.6097 0.8504
9 Sr 0.7540 0.2500 0.8199
10 Sr 0.7460 0.7500 0.3199
11 Sr 0.2460 0.7500 0.1801
12 Sr 0.2540 0.2500 0.6801
13 Pd 0.9386 0.2500 0.4349
14 Pd 0.5614 0.7500 0.9349
15 Pd 0.0614 0.7500 0.5651
16 Pd 0.4386 0.2500 0.0651
17 Na 0.0000 0.0000 0.5000
18 Na 0.5000 0.5000 0.0000
19 Na 0.5000 0.0000 0.0000
20 Na 0.0000 0.5000 0.5000

Summary:
Relative energy among the computed polymorphs, meV per atom: 129
ΔE_f, meV per atom: -157
Symmetry: Pnma (62)
Total moment, Bohr magnetons per cell: 0.00